A) Material: Li3Bi2Pb2
Method: DFT, PBE
State: relaxed

```
7
Lattice="5.761 -2.333 0.000 5.761 2.333 0.000 -1.996 0.000 6.807" Properties=species:S:1:pos:R:3 pbc="T T T"
Li 0.000 0.000 0.000
Li 0.674 0.000 2.982
Li 8.852 0.000 3.824
Bi 2.356 0.000 5.473
Bi 7.170 0.000 1.334
Pb 3.849 0.000 1.876
Pb 5.676 0.000 4.931
```

Results
symmetry	C2/m, No. 12
Fermi-level density of states	0.36	states/eV/atom

B) Material: Li3Bi2Pb2
Method: DFT, PBE
State: relaxed

```
7
Lattice="7.528 -2.449 0.000 7.528 2.449 0.000 -1.701 0.000 4.784" Properties=species:S:1:pos:R:3 pbc="T T T"
Li 0.000 0.000 0.000
Li 3.318 0.000 1.172
Li 10.038 0.000 3.612
Bi 4.139 0.000 4.165
Bi 9.217 0.000 0.620
Pb 0.748 0.000 2.959
Pb 12.608 0.000 1.826
```

Results
symmetry	C2/m, No. 12
Fermi-level density of states	0.33	states/eV/atom

Which one is most stable, and which one is least stable? B) is the most stable of them, while A) is the least stable.

A) Material: LiBi4Pb5
Method: DFT, PBE
State: relaxed

```
10
Lattice="8.541 -2.767 0.000 8.541 2.767 0.000 -0.298 0.000 7.334" Properties=species:S:1:pos:R:3 pbc="T T T"
Li 0.000 0.000 0.000
Bi 2.781 0.000 1.880
Bi 8.115 0.000 1.662
Bi 8.669 0.000 5.673
Bi 14.003 0.000 5.454
Pb -0.149 0.000 3.667
Pb 5.183 0.000 7.254
Pb 5.544 0.000 3.634
Pb 11.240 0.000 3.700
Pb 11.601 0.000 0.081
```

Results
symmetry	C2/m, No. 12
Fermi-level density of states	0.40	states/eV/atom

B) Material: LiBi4Pb5
Method: DFT, PBE
State: relaxed

```
10
Lattice="8.558 -2.070 0.000 8.558 2.070 0.000 -1.780 0.000 9.099" Properties=species:S:1:pos:R:3 pbc="T T T"
Li 0.000 0.000 0.000
Bi 1.200 0.000 8.482
Bi 7.741 0.000 1.975
Bi 7.594 0.000 7.124
Bi 14.135 0.000 0.617
Pb -0.890 0.000 4.550
Pb 4.203 0.000 7.052
Pb 4.887 0.000 3.627
Pb 10.449 0.000 5.472
Pb 11.133 0.000 2.047
```

Results
symmetry	C2/m, No. 12
Fermi-level density of states	0.38	states/eV/atom

Which one is most stable, and which one is least stable? A) is the most stable of them, while B) is the least stable.

A) Material: LiBiPdPb2
Method: DFT, PBE
State: relaxed

```
5
Lattice="5.361 0.000 0.000 0.000 5.361 0.000 0.000 0.000 4.814" Properties=species:S:1:pos:R:3 pbc="T T T"
Li 0.000 0.000 0.000
Bi 2.681 2.681 0.000
Pd 0.000 0.000 2.407
Pb 0.000 2.681 2.407
Pb 2.681 0.000 2.407
```

Results
symmetry	P4/mmm, No. 123
Fermi-level density of states	0.37	states/eV/atom

B) Material: LiBiPdPb2
Method: DFT, PBE
State: relaxed

```
5
Lattice="-2.217 2.387 6.380 2.217 -2.387 6.380 2.217 2.387 -6.380" Properties=species:S:1:pos:R:3 pbc="T T T"
Li 0.000 0.000 0.000
Bi 0.000 0.000 2.898
Pd 0.000 2.387 1.407
Pb 0.000 0.000 6.127
Pb 0.000 0.000 9.834
```

Results
symmetry	Imm2, No. 44
Fermi-level density of states	0.40	states/eV/atom

Which one is most stable, and which one is least stable? B) is the most stable of them, while A) is the least stable.